No. 1
The following is a PBE-GGA calculation of an optimized crystal structure of TlAu2, from Alexandria.

Cell lengths 5.656, 5.656, 9.676 Å; angles 90.00, 90.00, 120.00 degrees
Element x y z (fractional)
Tl (0.333, 0.667, 0.063)
Tl (0.333, 0.667, 0.437)
Tl (0.667, 0.333, 0.563)
Tl (0.667, 0.333, 0.937)
Au (0.000, 0.000, 0.000)
Au (0.000, 0.000, 0.500)
Au (0.168, 0.337, 0.750)
Au (0.168, 0.832, 0.750)
Au (0.337, 0.168, 0.250)
Au (0.663, 0.832, 0.750)
Au (0.832, 0.168, 0.250)
Au (0.832, 0.663, 0.250)

Computed properties:
SG: P6_3/mmc (194)
Calculated total energy (eV per atom): -2.9718
Distance to the lowest polymorph of the same formula (kJ per mole of atoms): 0.00


No. 2
The following is a PBE-GGA calculation of an optimized crystal structure of SrTb4CeS8, from Alexandria.

Cell lengths 8.281, 8.281, 8.281 Å; angles 59.41, 59.41, 59.41 degrees
Element x y z (fractional)
Sr (0.000, 0.000, 0.000)
Tb (0.121, 0.627, 0.627)
Tb (0.251, 0.251, 0.251)
Tb (0.627, 0.121, 0.627)
Tb (0.627, 0.627, 0.121)
Ce (0.626, 0.626, 0.626)
S (0.377, 0.377, 0.856)
S (0.377, 0.856, 0.377)
S (0.383, 0.383, 0.383)
S (0.417, 0.866, 0.866)
S (0.856, 0.377, 0.377)
S (0.862, 0.862, 0.862)
S (0.866, 0.417, 0.866)
S (0.866, 0.866, 0.417)

Computed properties:
Energy relative to the elements, uncorrected (meV per atom): -1972
SG: R3m (160)
Calculated total energy (eV per atom): -6.1972


No. 3
The following is a PBE-GGA calculation of an optimized crystal structure of Sr2HPb, from Alexandria.

Cell lengths 9.808, 9.808, 4.216 Å; angles 90.00, 90.00, 145.51 degrees
Element x y z (fractional)
Sr (0.000, 0.000, 0.000)
Sr (0.183, 0.817, 0.500)
Sr (0.500, 0.500, 0.500)
Sr (0.817, 0.183, 0.500)
H (0.060, 0.940, 0.500)
H (0.940, 0.060, 0.500)
Pb (0.354, 0.646, 0.000)
Pb (0.646, 0.354, 0.000)

Computed properties:
SG: Cmmm (65)
Calculated total energy (eV per atom): -3.0344
Distance to the lowest polymorph of the same formula (kJ per mole of atoms): 4.68


No. 4
The following is a PBE-GGA calculation of an optimized crystal structure of NaCuHg2, from Alexandria.

Cell lengths 3.407, 3.407, 7.309 Å; angles 90.00, 90.00, 90.00 degrees
Element x y z (fractional)
Na (0.000, 0.000, 0.000)
Cu (0.000, 0.000, 0.500)
Hg (0.500, 0.500, 0.289)
Hg (0.500, 0.500, 0.711)

Computed properties:
SG: P4/mmm (123)
Calculated total energy (eV per atom): -1.5223
Distance to the lowest polymorph of the same formula (kJ per mole of atoms): 0.00


No. 5
The following is a PBE-GGA calculation of an optimized crystal structure of CuSnOsC, from Alexandria.

Cell lengths 4.249, 4.249, 3.950 Å; angles 104.34, 104.34, 104.73 degrees
Element x y z (fractional)
Cu (0.000, 0.000, 0.000)
Sn (0.708, 0.292, 0.500)
Os (0.318, 0.682, 0.500)
C (0.316, 0.684, 0.000)

Computed properties:
SG: C2 (5)
Calculated total energy (eV per atom): -6.4852
Distance to the lowest polymorph of the same formula (kJ per mole of atoms): 24.93


No. 6
The following is a PBE-GGA calculation of an optimized crystal structure of Pm2Ho3NpN6, from Alexandria.

Cell lengths 6.060, 6.060, 6.037 Å; angles 99.61, 99.61, 120.00 degrees
Element x y z (fractional)
Pm (0.167, 0.833, 0.000)
Pm (0.833, 0.167, 0.000)
Ho (0.000, 0.000, 0.500)
Ho (0.333, 0.667, 0.500)
Ho (0.667, 0.333, 0.500)
Np (0.500, 0.500, 0.000)
N (0.104, 0.416, 0.749)
N (0.273, 0.273, 0.247)
N (0.416, 0.104, 0.749)
N (0.584, 0.896, 0.251)
N (0.727, 0.727, 0.753)
N (0.896, 0.584, 0.251)

Computed properties:
Energy relative to the elements, uncorrected (meV per atom): -1534
SG: C2/m (12)
Calculated total energy (eV per atom): -8.7114


No. 7
The following is a PBE-GGA calculation of an optimized crystal structure of CdPbAu6, from Alexandria.

Cell lengths 4.874, 5.919, 5.919 Å; angles 69.11, 90.00, 90.00 degrees
Element x y z (fractional)
Cd (0.000, 0.000, 0.000)
Pb (0.500, 0.287, 0.287)
Au (0.000, 0.476, 0.476)
Au (0.000, 0.514, 0.954)
Au (0.000, 0.954, 0.514)
Au (0.500, 0.334, 0.779)
Au (0.500, 0.779, 0.334)
Au (0.500, 0.826, 0.826)

Computed properties:
SG: Amm2 (38)
Calculated total energy (eV per atom): -3.0656


No. 8
The following is a PBE-GGA calculation of an optimized crystal structure of Mn2AlC, from Alexandria.

Cell lengths 3.883, 3.883, 3.883 Å; angles 60.00, 60.00, 60.00 degrees
Element x y z (fractional)
Mn (0.250, 0.250, 0.250)
Mn (0.750, 0.750, 0.750)
Al (0.000, 0.000, 0.000)
C (0.500, 0.500, 0.500)

Computed properties:
SG: Fm-3m (225)
Calculated total energy (eV per atom): -6.9446